Crystalline BaInAg5 at its relaxed geometry. Source: Alexandria via LeMat-Bulk, functional GGA-PBE.

a = 5.891 Å, b = 9.372 Å, c = 11.697 Å
α = 90.00°, β = 90.00°, γ = 90.00°
Element x y z (fractional)
Ba: 0.250 0.240 0.940
Ba: 0.750 0.260 0.440
Ba: 0.250 0.740 0.560
Ba: 0.750 0.760 0.060
In: 0.250 0.853 0.857
In: 0.750 0.647 0.357
In: 0.250 0.353 0.643
In: 0.750 0.147 0.143
Ag: 0.250 0.594 0.018
Ag: 0.750 0.906 0.518
Ag: 0.250 0.094 0.482
Ag: 0.750 0.406 0.982
Ag: 0.750 0.321 0.743
Ag: 0.250 0.179 0.243
Ag: 0.750 0.821 0.757
Ag: 0.250 0.679 0.257
Ag: 0.250 0.929 0.095
Ag: 0.750 0.571 0.595
Ag: 0.250 0.429 0.405
Ag: 0.750 0.071 0.905
Ag: 0.994 0.433 0.192
Ag: 0.006 0.067 0.692
Ag: 0.506 0.933 0.308
Ag: 0.494 0.567 0.808
Ag: 0.006 0.567 0.808
Ag: 0.994 0.933 0.308
Ag: 0.494 0.067 0.692
Ag: 0.506 0.433 0.192

Space-group type: Pnma, No. 62
E_form: -0.178 eV per atom